Rb3CuCl4: relaxed, PBE.

Structure (POSCAR):
```
Rb3CuCl4
1.0
4.703 0.000 0.000
0.000 10.279 0.000
0.000 0.000 12.670
Cu Rb Cl
2 6 8
direct
0.185 0.389 0.000
0.685 0.611 0.500
0.600 0.114 0.000
0.026 0.671 0.165
0.526 0.329 0.335
0.100 0.886 0.500
0.526 0.329 0.665
0.026 0.671 0.835
0.092 0.904 0.000
0.505 0.552 0.000
0.041 0.299 0.153
0.541 0.701 0.347
0.005 0.448 0.500
0.592 0.096 0.500
0.541 0.701 0.653
0.041 0.299 0.847
```

Properties
E_form (uncorrected) = -12.2 eV/f.u.
density = 2.504 Mg/m³
volume = 38.279 Å³/atom
magnetization = 0.13 μB per formula unit